Entry 1:
MgAg2Pb: relaxed, PBE.

Lattice parameters (Å, degrees): 3.2495 3.2495 28.8128 90.00 90.00 120.00
Space group R3m (No. 160, hexagonal axes)
Asymmetric unit:
Mg1 0.0000 0.0000 0.0000 (multiplicity 3)
Ag1 0.0000 0.0000 0.4088 (multiplicity 3)
Ag2 0.0000 0.0000 0.5913 (multiplicity 3)
Pb1 0.0000 0.0000 0.8336 (multiplicity 3)

Entry 2:
Mg4Ag7Pb: relaxed, PBE.

Lattice parameters (Å, degrees): 10.710 5.255 10.453 90.00 120.16 90.00
Space group C2/m (No. 12)
Asymmetric unit:
Mg1 0.100 0.000 0.272 (multiplicity 4)
Mg2 0.250 0.000 0.827 (multiplicity 4)
Ag1 0.000 0.000 0.500 (multiplicity 2)
Ag2 0.052 0.500 0.859 (multiplicity 4)
Ag3 0.142 0.000 0.021 (multiplicity 4)
Ag4 0.213 0.500 0.413 (multiplicity 4)
Pb1 0.000 0.500 0.500 (multiplicity 2)

Entry 3:
MgAg2Pb: relaxed, PBE.

Lattice parameters (Å, degrees): 3.379 3.554 7.145 90.00 90.00 90.00
Space group Pmmm (No. 47)
Asymmetric unit:
Mg1 0.000 0.000 0.000 (multiplicity 1)
Ag1 0.500 0.500 0.211 (multiplicity 2)
Pb1 0.000 0.000 0.500 (multiplicity 1)

Entry 4:
Mg4Ag5Pb: relaxed, PBE.

Lattice parameters (Å, degrees): 3.399 3.399 17.014 90.00 90.00 90.00
Space group P4/mmm (No. 123)
Asymmetric unit:
Mg1 0.000 0.000 0.095 (multiplicity 2)
Mg2 0.000 0.000 0.285 (multiplicity 2)
Ag1 0.500 0.500 0.000 (multiplicity 1)
Ag2 0.500 0.500 0.191 (multiplicity 2)
Ag3 0.500 0.500 0.377 (multiplicity 2)
Pb1 0.000 0.000 0.500 (multiplicity 1)

Entry 5:
Mg2AgPb: relaxed, PBE.

Lattice parameters (Å, degrees): 3.3856 3.3856 28.0050 90.00 90.00 120.00
Space group R3m (No. 160, hexagonal axes)
Asymmetric unit:
Mg1 0.0000 0.0000 0.0000 (multiplicity 3)
Mg2 0.0000 0.0000 0.1844 (multiplicity 3)
Ag1 0.0000 0.0000 0.5922 (multiplicity 3)
Pb1 0.0000 0.0000 0.7580 (multiplicity 3)

Entry 6:
Mg6AgPb2: relaxed, PBE.

Lattice parameters (Å, degrees): 7.8304 7.8304 4.0321 90.00 90.00 120.00
Space group P-62m (No. 189)
Asymmetric unit:
Mg1 0.0000 0.2454 0.0000 (multiplicity 3)
Mg2 0.0000 0.6259 0.5000 (multiplicity 3)
Ag1 0.0000 0.0000 0.5000 (multiplicity 1)
Pb1 0.3333 0.6667 0.0000 (multiplicity 2)

Formation enthalpy at 0 K per entry: 0.038 0.011 -0.062 -0.171 -0.043 -0.092 eV/atom